## BaUPbO6 (PBE-GGA)

Data for a relaxed BaUPbO6 crystal.

Results
- crystal system = trigonal
- energy (eV/atom) = -7.489
- D(E_F) (states/eV per atom) = 0.000
- space group = No. 163
- ΔE_f (raw) (eV/atom) = -2.304
- theoretical density (g cm⁻³) = 6.785

Cell lengths 5.7425, 5.7425, 11.6294 Å; angles 90.00, 90.00, 120.00 degrees
Sites, in units of the cell vectors:
Ba: 0.0000 0.0000 0.5000
O: 0.6199 0.6337 0.6479
Ba: 0.0000 0.0000 0.0000
Pb: 0.6667 0.3333 0.7500
O: 0.0138 0.3801 0.6479
O: 0.3801 0.0138 0.1479
O: 0.6337 0.6199 0.1479
O: 0.9862 0.3663 0.1479
Pb: 0.3333 0.6667 0.2500
O: 0.3663 0.9862 0.6479
O: 0.6199 0.9862 0.8521
O: 0.9862 0.6199 0.3521
U: 0.3333 0.6667 0.7500
O: 0.3663 0.3801 0.8521
O: 0.3801 0.3663 0.3521
O: 0.0138 0.6337 0.8521
O: 0.6337 0.0138 0.3521
U: 0.6667 0.3333 0.2500